1.
In3IrAu after structural relaxation, computed with PBE-GGA.

Properties
As for the space group: P1. The calculated formation energy comes out at -0.103 eV/atom. The distance to the lowest polymorph of the same formula comes out at 0 meV/atom.

Cell: 5.260 5.282 8.288 Å, 90.01 90.44 90.04°
Element x y z (fractional)
In 0.000 0.000 0.000
In 0.125 0.474 0.329
In 0.256 0.873 0.610
In 0.384 0.474 0.891
In 0.510 0.001 0.221
In 0.756 0.160 0.611
Ir 0.008 0.982 0.330
Ir 0.502 0.982 0.891
Au 0.636 0.608 0.443
Au 0.874 0.609 0.777


2.
TaSiAgH2 after structural relaxation, computed with PBE-GGA.

Properties
As for the space group: P4/mmm. The total energy is -4.75 eV per atom.

Cell: 3.546 3.546 5.837 Å, 90.00 90.00 90.00°
Element x y z (fractional)
Ta 0.000 0.000 0.000
Si 0.500 0.500 0.000
Ag 0.000 0.000 0.500
H 0.000 0.500 0.500
H 0.500 0.000 0.500


3.
PrNdSmTm after structural relaxation, computed with PBE-GGA.

Properties
As for the space group: P3m1. The calculated formation energy comes out at 0.018 eV/atom. The distance to the lowest polymorph of the same formula comes out at 0 meV/atom.

Cell: 3.643 3.643 11.743 Å, 90.00 90.00 120.00°
Element x y z (fractional)
Pr 0.000 0.000 0.000
Nd 0.667 0.333 0.742
Sm 0.333 0.667 0.491
Tm 0.667 0.333 0.248


4.
CrBSCl2 after structural relaxation, computed with PBE-GGA.

Properties
As for the space group: P4/mmm. Its energy relative to the elements, uncorrected is 252 kJ/mol of formula units. The distance to the lowest polymorph of the same formula comes out at 56 meV/atom.

Cell: 4.768 4.768 4.604 Å, 90.00 90.00 90.00°
Element x y z (fractional)
Cr 0.000 0.000 0.000
B 0.500 0.500 0.500
S 0.000 0.000 0.500
Cl 0.000 0.500 0.000
Cl 0.500 0.000 0.000